1.
# Dy2NpAg3Te6

An optimized crystal structure of Dy2NpAg3Te6 (GGA-PBE, the Alexandria database).

a = 8.889 Å, b = 8.889 Å, c = 10.542 Å
α = 104.97°, β = 104.97°, γ = 29.08°
Fractional coordinates of all 12 atoms:
Dy 0.161 0.161 0.335
Dy 0.839 0.839 0.665
Np 0.500 0.500 0.000
Ag 0.173 0.173 0.969
Ag 0.500 0.500 0.500
Ag 0.827 0.827 0.031
Te 0.018 0.018 0.798
Te 0.308 0.308 0.854
Te 0.342 0.342 0.468
Te 0.658 0.658 0.532
Te 0.692 0.692 0.146
Te 0.982 0.982 0.202

Values from the calculation:
Energy relative to the elements, uncorrected in eV per atom: -0.700
Magnetization in μB/f.u.: 4.00



2.
# Np6Os2Ru

An optimized crystal structure of Np6Os2Ru (GGA-PBE, the Alexandria database).

a = 5.485 Å, b = 5.485 Å, c = 5.177 Å
α = 93.77°, β = 93.77°, γ = 99.83°
Fractional coordinates of all 9 atoms:
Np 0.160 0.506 0.337
Np 0.168 0.832 0.000
Np 0.494 0.840 0.663
Np 0.506 0.160 0.337
Np 0.832 0.168 0.000
Np 0.840 0.494 0.663
Os 0.333 0.333 0.835
Os 0.667 0.667 0.165
Ru 0.000 0.000 0.500

Values from the calculation:
Magnetization in μB/f.u.: 0.00
E_form in kcal/mol of atoms: 1.536